Nd6HgAu | GGA-PBE | relaxed

Cell and atoms, written as POSCAR:
```
Nd6HgAu
1.0
-2.646 2.646 8.894
2.646 -2.646 8.894
2.646 2.646 -8.894
Nd Hg Au
6 1 1
Cartesian
2.646 0.000 1.905 Nd
0.000 0.000 4.433 Nd
2.646 0.000 6.990 Nd
0.000 2.646 1.905 Nd
0.000 0.000 13.356 Nd
0.000 2.646 6.990 Nd
0.000 0.000 0.000 Hg
0.000 0.000 8.894 Au
```

- Raw total energy: -4.310 eV per atom